(1)
First-principles (GGA-PBE) data for a relaxed structure of TcBPd2, as listed in Alexandria.

a = 6.803 Å, b = 6.803 Å, c = 5.362 Å
α = 50.63°, β = 50.63°, γ = 90.00°
Fractional coordinates of all 8 atoms:
B1 0.500 0.500 0.000
B2 0.250 0.750 0.500
Tc1 0.000 0.000 0.000
Tc2 0.750 0.250 0.500
Pd1 0.531 0.125 0.250
Pd2 0.219 0.625 0.250
Pd3 0.375 0.469 0.750
Pd4 0.875 0.781 0.750

Values from the calculation:
ΔH_f (0 K) = 0.34 eV/atom
Density of states at the Fermi level = 5.19 states/eV per cell

***

(2)
First-principles (GGA-PBE) data for a relaxed structure of TcBPd, as listed in Alexandria.

a = 6.640 Å, b = 3.019 Å, c = 8.917 Å
α = 90.00°, β = 126.61°, γ = 90.00°
Fractional coordinates of all 12 atoms:
B1 0.148 0.000 0.618
B2 0.852 0.000 0.382
B3 0.148 0.500 0.118
B4 0.852 0.500 0.882
Tc1 0.877 0.000 0.086
Tc2 0.123 0.000 0.914
Tc3 0.877 0.500 0.586
Tc4 0.123 0.500 0.414
Pd1 0.604 0.000 0.681
Pd2 0.396 0.000 0.319
Pd3 0.604 0.500 0.181
Pd4 0.396 0.500 0.819

Values from the calculation:
ΔH_f (0 K) = -0.15 eV/atom
Density of states at the Fermi level = 9.63 states/eV per cell
Relative energy among the computed polymorphs = 0.0 meV per atom

***

(3)
First-principles (GGA-PBE) data for a relaxed structure of TcBPd, as listed in Alexandria.

a = 5.429 Å, b = 2.958 Å, c = 9.159 Å
α = 90.00°, β = 90.91°, γ = 90.00°
Fractional coordinates of all 12 atoms:
B1 0.465 0.000 0.953
B2 0.465 0.500 0.453
B3 0.918 0.000 0.737
B4 0.918 0.500 0.237
Tc1 0.954 0.000 0.071
Tc2 0.954 0.500 0.571
Tc3 0.729 0.000 0.364
Tc4 0.729 0.500 0.864
Pd1 0.218 0.000 0.350
Pd2 0.218 0.500 0.850
Pd3 0.461 0.000 0.623
Pd4 0.461 0.500 0.123

Values from the calculation:
ΔH_f (0 K) = -0.07 eV/atom
Density of states at the Fermi level = 7.12 states/eV per cell
Relative energy among the computed polymorphs = 76.1 meV per atom

***

(4)
First-principles (GGA-PBE) data for a relaxed structure of TcBPd, as listed in Alexandria.

a = 5.247 Å, b = 4.885 Å, c = 7.141 Å
α = 90.00°, β = 127.79°, γ = 90.00°
Fractional coordinates of all 12 atoms:
B1 0.000 0.189 0.000
B2 0.000 0.811 0.000
B3 0.000 0.689 0.500
B4 0.000 0.311 0.500
Tc1 0.851 0.000 0.639
Tc2 0.149 0.000 0.361
Tc3 0.851 0.500 0.139
Tc4 0.149 0.500 0.861
Pd1 0.467 0.000 0.165
Pd2 0.533 0.000 0.835
Pd3 0.467 0.500 0.665
Pd4 0.533 0.500 0.335

Values from the calculation:
ΔH_f (0 K) = -0.09 eV/atom
Density of states at the Fermi level = 7.13 states/eV per cell
Relative energy among the computed polymorphs = 60.0 meV per atom

***

(5)
First-principles (GGA-PBE) data for a relaxed structure of TcBPd, as listed in Alexandria.

a = 4.984 Å, b = 2.854 Å, c = 10.509 Å
α = 90.00°, β = 98.67°, γ = 90.00°
Fractional coordinates of all 12 atoms:
B1 0.179 0.000 0.494
B2 0.821 0.000 0.506
B3 0.179 0.500 0.994
B4 0.821 0.500 0.006
Tc1 0.949 0.000 0.859
Tc2 0.051 0.000 0.141
Tc3 0.949 0.500 0.359
Tc4 0.051 0.500 0.641
Pd1 0.544 0.000 0.640
Pd2 0.456 0.000 0.360
Pd3 0.544 0.500 0.140
Pd4 0.456 0.500 0.860

Values from the calculation:
ΔH_f (0 K) = -0.08 eV/atom
Density of states at the Fermi level = 9.41 states/eV per cell
Relative energy among the computed polymorphs = 71.0 meV per atom

***

(6)
First-principles (GGA-PBE) data for a relaxed structure of TcBPd, as listed in Alexandria.

a = 4.918 Å, b = 2.883 Å, c = 5.368 Å
α = 90.00°, β = 102.55°, γ = 90.00°
Fractional coordinates of all 6 atoms:
B1 0.093 0.250 0.990
B2 0.907 0.750 0.010
Tc1 0.860 0.250 0.300
Tc2 0.140 0.750 0.700
Pd1 0.618 0.250 0.731
Pd2 0.382 0.750 0.269

Values from the calculation:
ΔH_f (0 K) = -0.06 eV/atom
Density of states at the Fermi level = 2.88 states/eV per cell
Relative energy among the computed polymorphs = 84.7 meV per atom

***

(7)
First-principles (GGA-PBE) data for a relaxed structure of TcBPd, as listed in Alexandria.

a = 6.044 Å, b = 2.873 Å, c = 10.421 Å
α = 90.00°, β = 125.18°, γ = 90.00°
Fractional coordinates of all 12 atoms:
B1 0.445 0.000 0.421
B2 0.445 0.500 0.921
B3 0.503 0.000 0.268
B4 0.503 0.500 0.768
Tc1 0.764 0.000 0.969
Tc2 0.764 0.500 0.469
Tc3 0.185 0.000 0.712
Tc4 0.185 0.500 0.212
Pd1 0.292 0.000 0.011
Pd2 0.292 0.500 0.511
Pd3 0.848 0.000 0.265
Pd4 0.848 0.500 0.765

Values from the calculation:
ΔH_f (0 K) = -0.05 eV/atom
Density of states at the Fermi level = 8.40 states/eV per cell
Relative energy among the computed polymorphs = 100.0 meV per atom

***

(8)
First-principles (GGA-PBE) data for a relaxed structure of TcBPd, as listed in Alexandria.

a = 2.881 Å, b = 2.858 Å, c = 9.015 Å
α = 90.00°, β = 90.00°, γ = 90.00°
Fractional coordinates of all 6 atoms:
B1 0.000 0.000 0.600
B2 0.000 0.500 0.100
Tc1 0.500 0.000 0.188
Tc2 0.500 0.500 0.688
Pd1 0.000 0.000 0.911
Pd2 0.000 0.500 0.411

Values from the calculation:
ΔH_f (0 K) = -0.05 eV/atom
Density of states at the Fermi level = 5.21 states/eV per cell
Relative energy among the computed polymorphs = 99.0 meV per atom

***

Please write out number 5 again, unchanged.
First-principles (GGA-PBE) data for a relaxed structure of TcBPd, as listed in Alexandria.

a = 4.984 Å, b = 2.854 Å, c = 10.509 Å
α = 90.00°, β = 98.67°, γ = 90.00°
Fractional coordinates of all 12 atoms:
B1 0.179 0.000 0.494
B2 0.821 0.000 0.506
B3 0.179 0.500 0.994
B4 0.821 0.500 0.006
Tc1 0.949 0.000 0.859
Tc2 0.051 0.000 0.141
Tc3 0.949 0.500 0.359
Tc4 0.051 0.500 0.641
Pd1 0.544 0.000 0.640
Pd2 0.456 0.000 0.360
Pd3 0.544 0.500 0.140
Pd4 0.456 0.500 0.860

Values from the calculation:
ΔH_f (0 K) = -0.08 eV/atom
Density of states at the Fermi level = 9.41 states/eV per cell
Relative energy among the computed polymorphs = 71.0 meV per atom